Hf2Zr6Sc | PBE-GGA | optimized geometry

Calculated values
* formation enthalpy at 0 K: 0.085 eV per atom
* size of the total moment: 0.00 μB per cell

Geometry as CIF:
```
data_Hf2Zr6Sc
_chemical_formula_sum 'Hf8 Zr24 Sc4'
_cell_length_a 10.965
_cell_length_b 13.185
_cell_length_c 5.996
_cell_angle_alpha 90.00
_cell_angle_beta 104.59
_cell_angle_gamma 90.00
_space_group_name_H-M_alt 'C 1 2/c 1'
_space_group_IT_number 15
loop_
_space_group_symop_operation_xyz
'x,y,z'
'-x,-y,-z'
'-x,y,-z+1/2'
'x,-y,z+1/2'
'x+1/2,y+1/2,z'
'-x+1/2,-y+1/2,-z'
'-x+1/2,y+1/2,-z+1/2'
'x+1/2,-y+1/2,z+1/2'
loop_
_atom_site_label
_atom_site_fract_x
_atom_site_fract_y
_atom_site_fract_z
_atom_site_occupancy
Hf1 0.142 0.015 0.368 1
Zr1 0.045 0.189 0.021 1
Zr2 0.143 0.397 0.818 1
Zr3 0.236 0.189 0.701 1
Sc1 0.000 0.400 0.250 1
```